Entry from the Alexandria database: crystalline LiZrGaI at its relaxed geometry (PBE).

a = 3.7272 Å, b = 3.7525 Å, c = 7.6536 Å
α = 89.16°, β = 88.99°, γ = 68.99°
Positions (direct):
Li  0.0000  0.0000  0.0000
Zr  0.7241  0.7332  0.3660
Ga  0.3618  0.3669  0.1635
I  0.0615  0.0752  0.6313

Computed properties:
The calculation puts the excess energy over the best structure of this formula in the dataset at 15.0 meV/atom. The value obtained for the total magnetization is 0.0 Bohr magnetons per cell. Its total energy is -4.099 eV/atom. The uncorrected formation energy comes out at -0.339 eV/atom.